(1)
Here is an optimized crystal structure of LaPm6Dy2Y3 from the Alexandria database. Energies are from PBE.

```
LaPm6Dy2Y3
1.0
6.282 -0.001 0.012
-3.140 5.441 0.012
-1.070 -1.852 11.778
Pm Dy La Y
6 2 1 3
Direct
0.250 0.250 0.748
0.750 0.750 0.252
0.084 0.419 0.251
0.581 0.916 0.749
0.916 0.581 0.749
0.419 0.084 0.251
0.666 0.334 0.000
0.334 0.666 0.000
0.000 0.000 0.000
0.167 0.833 0.500
0.833 0.167 0.500
0.500 0.500 0.500
```

* ΔH_f (0 K): 16 meV/atom
* total moment: 0.00 μB per formula unit

=====

(2)
Here is an optimized crystal structure of CoSbBr2 from the Alexandria database. Energies are from PBE.

```
CoSbBr2
1.0
-1.521 -4.731 5.003
3.700 -4.883 -3.492
4.740 -3.630 2.978
Br Sb Co
4 2 2
Direct
0.543 0.125 0.250
0.375 0.457 0.750
0.875 0.793 0.750
0.207 0.625 0.250
0.000 0.000 0.000
0.750 0.250 0.500
0.500 0.500 0.000
0.250 0.750 0.500
```

* total moment: 1.87 μB per formula unit
* E above lowest polymorph: 531 meV per atom
* ΔE_f (raw): 0.397 eV/atom

=====

Please write out number 2 again, unchanged.
Here is an optimized crystal structure of CoSbBr2 from the Alexandria database. Energies are from PBE.

```
CoSbBr2
1.0
-1.521 -4.731 5.003
3.700 -4.883 -3.492
4.740 -3.630 2.978
Br Sb Co
4 2 2
Direct
0.543 0.125 0.250
0.375 0.457 0.750
0.875 0.793 0.750
0.207 0.625 0.250
0.000 0.000 0.000
0.750 0.250 0.500
0.500 0.500 0.000
0.250 0.750 0.500
```

* total moment: 1.87 μB per formula unit
* E above lowest polymorph: 531 meV per atom
* ΔE_f (raw): 0.397 eV/atom

=====

Please write out number 2 again, unchanged.
Here is an optimized crystal structure of CoSbBr2 from the Alexandria database. Energies are from PBE.

```
CoSbBr2
1.0
-1.521 -4.731 5.003
3.700 -4.883 -3.492
4.740 -3.630 2.978
Br Sb Co
4 2 2
Direct
0.543 0.125 0.250
0.375 0.457 0.750
0.875 0.793 0.750
0.207 0.625 0.250
0.000 0.000 0.000
0.750 0.250 0.500
0.500 0.500 0.000
0.250 0.750 0.500
```

* total moment: 1.87 μB per formula unit
* E above lowest polymorph: 531 meV per atom
* ΔE_f (raw): 0.397 eV/atom

=====

> Among the records above, which one has the highest total moment?

CoSbBr2

=====

> Among the records above, which one has the lowest total moment?

LaPm6Dy2Y3